## CuNi2RuN (PBE)

Data for an optimized crystal structure of CuNi2RuN.

Computed properties:
Space-group type: P4/mmm, No. 123
Fermi-level density of states (states/eV per cell): 6.244
E_form (uncorrected) (eV/atom): 0.12

Lattice parameters (Å, degrees): 3.7804 3.7804 3.9220 90.00 90.00 90.00
Last column: nearest neighbours and their distance in Å.
Sites, in units of the cell vectors:
Cu1 0.0000 0.0000 0.0000  4 Ru 2.67, 8 Ni 2.72
Ni1 0.0000 0.5000 0.5000  2 N 1.89
Ni2 0.5000 0.0000 0.5000  2 N 1.89
Ru1 0.5000 0.5000 0.0000  2 N 1.96
N1 0.5000 0.5000 0.5000  4 Ni 1.89, 2 Ru 1.96



## La2PrSe3 (PBE)

Data for an optimized crystal structure of La2PrSe3.

Computed properties:
Space-group type: Fddd, No. 70
Fermi-level density of states (states/eV per cell): 13.268
Excess energy over the best structure of this formula in the dataset (meV per atom): 0
E_form (uncorrected) (eV/atom): -1.95

Lattice parameters (Å, degrees): 14.1807 13.5215 7.4598 79.32 69.55 31.13
Last column: nearest neighbours and their distance in Å.
Sites, in units of the cell vectors:
La1 0.0416 0.0416 0.2084  6 Se 3.04-3.05
La2 0.1251 0.1251 0.6249  6 Se 3.04-3.05
La3 0.2084 0.2084 0.0416  6 Se 3.04-3.05
La4 0.3751 0.3751 0.8749  6 Se 3.04-3.05
La5 0.6249 0.6249 0.1251  6 Se 3.04-3.05
La6 0.7916 0.7916 0.9584  6 Se 3.04-3.05
La7 0.8749 0.8749 0.3751  6 Se 3.04-3.05
La8 0.9584 0.9584 0.7916  6 Se 3.04-3.05
Pr1 0.2916 0.2916 0.4584  6 Se 3.03
Pr2 0.4584 0.4584 0.2916  6 Se 3.03
Pr3 0.5416 0.5416 0.7084  6 Se 3.03
Pr4 0.7084 0.7084 0.5416  6 Se 3.03
Se1 0.0416 0.5414 0.2096  2 Pr 3.03, 4 La 3.04-3.05
Se2 0.1263 0.6237 0.6237  2 Pr 3.03, 4 La 3.04-3.05
Se3 0.2096 0.7074 0.0416  2 Pr 3.03, 4 La 3.04-3.05
Se4 0.2926 0.7904 0.4586  2 Pr 3.03, 4 La 3.04-3.05
Se5 0.3763 0.8737 0.8737  2 Pr 3.03, 4 La 3.04-3.05
Se6 0.4586 0.9584 0.2926  2 Pr 3.03, 4 La 3.04-3.05
Se7 0.5414 0.0416 0.7074  2 Pr 3.03, 4 La 3.04-3.05
Se8 0.6237 0.1263 0.1263  2 Pr 3.03, 4 La 3.04-3.05
Se9 0.7074 0.2096 0.5414  2 Pr 3.03, 4 La 3.04-3.05
Se10 0.7904 0.2926 0.9584  2 Pr 3.03, 4 La 3.04-3.05
Se11 0.8737 0.3763 0.3763  2 Pr 3.03, 4 La 3.04-3.05
Se12 0.9584 0.4586 0.7904  2 Pr 3.03, 4 La 3.04-3.05



## PaMn8Fe4 (PBE)

Data for an optimized crystal structure of PaMn8Fe4.

Computed properties:
DFT total energy (Ry/atom): -0.6379
Space-group type: C2/m, No. 12
Fermi-level density of states (states/eV per cell): 17.766

Lattice parameters (Å, degrees): 4.9528 4.9528 8.3706 98.03 98.03 60.79
Last column: nearest neighbours and their distance in Å.
Sites, in units of the cell vectors:
Pa1 0.0000 0.0000 0.0000  4 Mn 2.50
Mn1 0.2039 0.7142 0.7359  6 Mn 2.40-2.57, 3 Fe 2.40-2.44, 1 Pa 2.50
Mn2 0.2223 0.2223 0.7521  6 Mn 2.42-2.55, 3 Fe 2.50-2.60
Mn3 0.2858 0.7961 0.2641  6 Mn 2.40-2.57, 3 Fe 2.40-2.44, 1 Pa 2.50
Mn4 0.3012 0.3012 0.2415  6 Mn 2.40-2.57, 3 Fe 2.53-2.60
Mn5 0.6988 0.6988 0.7585  6 Mn 2.40-2.57, 3 Fe 2.53-2.60
Mn6 0.7142 0.2039 0.7359  6 Mn 2.40-2.57, 3 Fe 2.40-2.44, 1 Pa 2.50
Mn7 0.7777 0.7777 0.2479  6 Mn 2.42-2.55, 3 Fe 2.50-2.60
Mn8 0.7961 0.2858 0.2641  6 Mn 2.40-2.57, 3 Fe 2.40-2.44, 1 Pa 2.50
Fe1 0.0000 0.0000 0.5000  6 Mn 2.40-2.60, 6 Fe 2.48-2.51
Fe2 0.0000 0.5000 0.5000  6 Mn 2.44-2.60, 6 Fe 2.48-2.51
Fe3 0.5000 0.0000 0.5000  6 Mn 2.44-2.60, 6 Fe 2.48-2.51
Fe4 0.5000 0.5000 0.5000  6 Mn 2.42-2.53, 6 Fe 2.48-2.51



## LiTaPt2N (PBE)

Data for an optimized crystal structure of LiTaPt2N.

Computed properties:
Space-group type: P4/mmm, No. 123
Fermi-level density of states (states/eV per cell): 4.257
E_form (uncorrected) (eV/atom): 0.41

Lattice parameters (Å, degrees): 5.0356 5.0356 3.9638 90.00 90.00 90.00
Last column: nearest neighbours and their distance in Å.
Sites, in units of the cell vectors:
Li1 0.0000 0.0000 0.0000  8 Pt 3.20, 4 N 3.56
Ta1 0.5000 0.5000 0.5000  2 N 1.98
Pt1 0.0000 0.5000 0.5000  2 Ta 2.52
Pt2 0.5000 0.0000 0.5000  2 Ta 2.52
N1 0.5000 0.5000 0.0000  2 Ta 1.98



## LiGdGa2 (PBE)

Data for an optimized crystal structure of LiGdGa2.

Computed properties:
DFT total energy (Ry/atom): -0.4378
Space-group type: P4/mmm, No. 123
Fermi-level density of states (states/eV per cell): 1.504

Lattice parameters (Å, degrees): 3.3603 3.3603 6.8757 90.00 90.00 90.00
Last column: nearest neighbours and their distance in Å.
Sites, in units of the cell vectors:
Li1 0.0000 0.0000 0.0000  8 Ga 2.75
Gd1 0.0000 0.0000 0.5000  8 Ga 3.14, 4 Gd 3.36, 2 Li 3.44
Ga1 0.5000 0.5000 0.2009  4 Li 2.75, 1 Ga 2.76
Ga2 0.5000 0.5000 0.7991  4 Li 2.75, 1 Ga 2.76



## Er2P2PbN6 (PBE)

Data for an optimized crystal structure of Er2P2PbN6.

Computed properties:
Space-group type: P-1, No. 2
E_form (uncorrected) (eV/atom): -0.66

Lattice parameters (Å, degrees): 5.9137 5.9774 6.2729 100.14 112.57 112.25
Last column: nearest neighbours and their distance in Å.
Sites, in units of the cell vectors:
Er1 0.1283 0.2023 0.3269  6 N 2.28-2.54
Er2 0.8717 0.7977 0.6731  6 N 2.28-2.54
P1 0.2043 0.7562 0.2667  3 N 1.58-1.59
P2 0.7957 0.2438 0.7333  3 N 1.58-1.59
Pb1 0.5000 0.5000 0.0000  4 N 2.61-2.64
N1 0.0098 0.7743 0.3804  1 P 1.59
N2 0.1975 0.8846 0.0661  1 P 1.58
N3 0.3952 0.6291 0.3623  1 P 1.58
N4 0.6048 0.3709 0.6377  1 P 1.58
N5 0.8025 0.1154 0.9339  1 P 1.58
N6 0.9902 0.2257 0.6196  1 P 1.59



Which formula does entry 1 have? CuNi2RuN